1.
First-principles (PBE) data for an optimized crystal structure of Na2MgInSe4, as listed in Alexandria via LeMat-Bulk.

The value obtained for the raw formation energy is -0.807 eV/atom.

a b c (Å): 7.4971 7.4971 7.0228
angles (deg): 90.00 90.00 90.00
Closest atoms and distances in Å follow each position.
Space group I-42m (No. 121)
One atom of each set of equivalent atoms:
Na 0.0000 0.5000 0.0000  8 Se 3.25-3.26, 2 Na 3.51
Mg 0.0000 0.0000 0.0000  4 Se 2.64
In 0.0000 0.0000 0.5000  4 Se 2.63
Se 0.1853 0.1853 0.2514  1 In 2.63, 1 Mg 2.64

***

2.
First-principles (PBE) data for an optimized crystal structure of NaMgIn2Se4, as listed in Alexandria via LeMat-Bulk.

The value obtained for the raw formation energy is -0.777 eV/atom.

a b c (Å): 6.4695 6.4695 11.8438
angles (deg): 90.00 90.00 90.00
Closest atoms and distances in Å follow each position.
Space group I-42m (No. 121)
One atom of each set of equivalent atoms:
Na 0.0000 0.0000 0.0000  4 Se 2.86
Mg 0.0000 0.0000 0.5000  4 Se 2.61
In 0.0000 0.5000 0.2500  4 Se 2.72
Se 0.2333 0.2333 0.6261  1 Mg 2.61, 2 In 2.72, 1 Na 2.86

***

3.
First-principles (PBE) data for an optimized crystal structure of Na2MgIn2Sn2, as listed in Alexandria via LeMat-Bulk.

a b c (Å): 5.2221 5.2221 23.4347
angles (deg): 90.00 90.00 120.00
Closest atoms and distances in Å follow each position.
Space group R-3m (No. 166, hexagonal axes)
One atom of each set of equivalent atoms:
Na 0.0000 0.0000 0.1406  3 Na 3.25, 3 In 3.26, 1 Mg 3.29, 1 Sn 3.33
Mg 0.0000 0.0000 0.0000  6 Sn 3.24, 2 Na 3.29
In 0.0000 0.0000 0.4212  4 Sn 3.14-3.25, 3 Na 3.26
Sn 0.0000 0.0000 0.2826  4 In 3.14-3.25, 3 Mg 3.24, 1 Na 3.33

***

4.
First-principles (PBE) data for an optimized crystal structure of Na2Mg4InSn3, as listed in Alexandria via LeMat-Bulk.

a b c (Å): 4.5781 4.5781 13.2088
angles (deg): 90.00 90.00 90.00
Closest atoms and distances in Å follow each position.
Space group P-4m2 (No. 115)
One atom of each set of equivalent atoms:
Na 0.0000 0.5000 0.2247  4 Sn 3.43, 8 Mg 3.64-3.75
Mg 0.0000 0.0000 0.0000  4 Sn 2.94, 4 Mg 3.24
Mg 0.0000 0.5000 0.6490  3 Sn 2.80-3.02, 2 In 3.02
Mg 0.5000 0.5000 0.0000  4 Sn 2.94, 4 Mg 3.24
In 0.0000 0.0000 0.5000  4 Mg 3.02, 4 Sn 3.24
Sn 0.0000 0.5000 0.8606  5 Mg 2.80-2.94
Sn 0.5000 0.5000 0.5000  4 Mg 3.02, 4 In 3.24

***

5.
First-principles (PBE) data for an optimized crystal structure of NaSr2Mg12In3, as listed in Alexandria via LeMat-Bulk.

a b c (Å): 10.6868 10.6868 14.9941
angles (deg): 90.00 90.00 120.00
Closest atoms and distances in Å follow each position.
Space group R-3m (No. 166, hexagonal axes)
One atom of each set of equivalent atoms:
Na 0.0000 0.0000 0.0000  6 Mg 3.07
Sr 0.0000 0.0000 0.2637  3 In 3.41, 9 Mg 3.52-3.68
Mg 0.0068 0.5034 0.7019  5 Mg 2.99-3.20, 1 In 3.03, 1 Na 3.07
Mg 0.0486 0.5243 0.1015  6 Mg 2.99-3.28
In 0.0000 0.5000 0.5000  2 Mg 3.03

***

6.
First-principles (PBE) data for an optimized crystal structure of Na2MgInTe4, as listed in Alexandria via LeMat-Bulk.

The value obtained for the raw formation energy is -0.600 eV/atom.

a b c (Å): 8.0554 8.0554 7.5048
angles (deg): 90.00 90.00 90.00
Closest atoms and distances in Å follow each position.
Space group I-42m (No. 121)
One atom of each set of equivalent atoms:
Na 0.0000 0.5000 0.0000  8 Te 3.47-3.49, 2 Na 3.75
Mg 0.0000 0.0000 0.0000  4 Te 2.86
In 0.0000 0.0000 0.5000  4 Te 2.84
Te 0.1884 0.1884 0.7477  1 In 2.84, 1 Mg 2.86

***

7.
First-principles (PBE) data for an optimized crystal structure of NaMg2Tl5In, as listed in Alexandria via LeMat-Bulk.

a b c (Å): 3.4749 16.9812 17.0481
angles (deg): 90.00 90.00 90.00
Closest atoms and distances in Å follow each position.
Space group Cmc2_1 (No. 36)
One atom of each set of equivalent atoms:
Na 0.0000 0.0471 0.0000  5 Tl 3.30-3.50, 2 In 3.47, 2 Na 3.47, 2 Mg 3.63
Mg 0.0000 0.3595 0.9914  5 Tl 3.12-3.16, 2 In 3.19, 2 Mg 3.47
Mg 0.0000 0.4238 0.3006  8 Tl 3.20-3.38, 2 Mg 3.47
Tl 0.0000 0.0768 0.3506  4 Mg 3.15-3.24, 1 Na 3.30, 5 Tl 3.45-3.51
Tl 0.0000 0.1022 0.6417  4 Mg 3.16-3.25, 6 Tl 3.42-3.49, 1 In 3.43, 1 Na 3.50
Tl 0.0000 0.2091 0.8865  3 Mg 3.12-3.20, 2 In 3.36, 1 Na 3.36, 4 Tl 3.38-3.47
Tl 0.0000 0.2399 0.2240  9 Tl 3.38-3.51, 1 Mg 3.38, 2 In 3.39
Tl 0.0000 0.4321 0.6757  1 In 3.24, 1 Mg 3.24, 8 Tl 3.42-3.50, 2 Na 3.48
In 0.0000 0.2847 0.5550  2 Mg 3.19, 6 Tl 3.24-3.43, 2 Na 3.47, 2 In 3.47

***

8.
First-principles (PBE) data for an optimized crystal structure of NaMgTl3In, as listed in Alexandria via LeMat-Bulk.

a b c (Å): 8.1647 4.2184 10.2372
angles (deg): 90.00 110.34 90.00
Closest atoms and distances in Å follow each position.
Space group P2_1/m (No. 11)
One atom of each set of equivalent atoms:
Na 0.1435 0.2500 0.2911  8 Tl 3.28-3.64, 3 In 3.39-3.67
Mg 0.4974 0.2500 0.1284  6 Tl 3.16-3.45, 2 In 3.32, 2 Mg 3.38
Tl 0.1792 0.7500 0.5468  3 Na 3.29-3.57, 3 In 3.30-3.54, 4 Tl 3.37-3.46, 1 Mg 3.45
Tl 0.1834 0.7500 0.0581  2 Mg 3.20, 2 Na 3.28, 4 Tl 3.35-3.52, 1 In 3.35
Tl 0.1969 0.2500 0.8077  3 Mg 3.16-3.35, 4 Tl 3.35-3.37, 2 Na 3.35
In 0.4902 0.7500 0.3767  2 In 3.25, 4 Tl 3.30-3.54, 2 Mg 3.32, 2 Na 3.39

***

no.,electronic total energy (eV per cell)
1,-54.73
2,-57.10
3,-54.76
4,-25.03
5,-94.61
6,-48.67
7,-76.86
8,-26.10